No. 1
16
Lattice="8.436 0.000 0.000 0.000 9.353 0.647 -4.218 -4.212 5.964" Properties=species:S:1:pos:R:3 comment="Pm8Ru3I4Cl | the Alexandria database | PBE | relaxed" density_kg_m3=6750 total_magnetization_mub_per_atom=0.00 raw_formation_energy_ev_per_fu=-12.62 pbc="T T T"
Pm -1.935 2.437 6.070
Pm 0.000 4.369 3.333
Pm 0.000 0.642 3.432
Pm 1.935 2.437 6.070
Pm 2.283 2.704 0.541
Pm 4.218 4.499 3.179
Pm 4.218 0.772 3.278
Pm 6.153 2.704 0.541
Ru 4.218 4.676 0.323
Ru 2.109 2.571 3.305
Ru -2.109 2.571 3.305
I 4.218 0.000 0.000
I 2.109 -2.106 2.982
I 0.000 0.000 0.000
I -2.109 -2.106 2.982
Cl 0.000 4.676 0.323

---

No. 2
4
Lattice="-3.856 -1.575 -2.614 0.695 -2.048 -4.417 -0.746 -4.822 -0.620" Properties=species:S:1:pos:R:3 comment="CaTmZnRh | the Alexandria database | PBE | relaxed" e_form_ev_per_atom=-0.446 density_kg_m3=7448 total_magnetization_mub_per_atom=0.00 pbc="T T T"
Zn -1.954 -4.223 -3.826
Tm -0.977 -2.111 -1.913
Rh 0.000 0.000 0.000
Ca -2.931 -6.334 -5.738

---

No. 3
8
Lattice="-0.839 1.634 4.109 -4.385 0.232 -0.988 -3.533 -5.817 4.057" Properties=species:S:1:pos:R:3 comment="KAlB2 | the Alexandria database | PBE | relaxed" e_form_ev_per_atom=0.954 relative_energy_kj_per_mol_fu=0.0 density_kg_m3=1982 total_magnetization_mub_per_atom=0.00 pbc="T T T"
K 0.000 0.000 0.000
K -3.492 -1.625 4.863
B -1.746 -0.812 2.432
B -3.939 -0.696 1.938
B -5.705 -3.605 3.966
B -6.124 -2.788 6.021
Al -2.612 0.933 1.561
Al -5.265 -2.326 2.315

---

No. 4
10
Lattice="6.561 0.000 0.000 3.281 5.683 0.000 3.280 1.894 5.933" Properties=species:S:1:pos:R:3 comment="HfMgCr2Se6 | the Alexandria database | PBE | relaxed" density_kg_m3=5858 total_magnetization_mub_per_atom=0.60 raw_formation_energy_ev_per_fu=-8.27 pbc="T T T"
Hf 3.280 1.895 0.177
Mg 9.843 5.683 3.229
Cr 6.561 3.788 2.819
Cr 3.280 1.894 5.804
Se 5.597 1.836 1.477
Se 5.352 5.599 1.477
Se 8.734 3.930 1.477
Se 7.480 5.635 4.432
Se 7.702 2.070 4.433
Se 4.502 3.660 4.432

---

No. 5
4
Lattice="11.631 0.005 0.003 11.210 3.102 0.003 11.210 1.525 2.701" Properties=species:S:1:pos:R:3 comment="Sr2TaW | the Alexandria database | PBE | relaxed" e_form_ev_per_atom=1.382 relative_energy_kj_per_mol_fu=319.5 density_kg_m3=9227 total_magnetization_mub_per_atom=0.00 pbc="T T T"
Sr 0.098 0.013 0.008
Sr 16.927 2.302 1.346
Ta 8.513 1.158 0.677
W 25.538 3.474 2.030

---

No. 6
4
Lattice="-3.189 -2.345 -1.010 3.072 -2.559 -3.760 1.523 -3.687 3.753" Properties=species:S:1:pos:R:3 comment="SrY2Zn | the Alexandria database | PBE | relaxed" e_form_ev_per_atom=0.147 density_kg_m3=4474 total_magnetization_mub_per_atom=0.00 pbc="T T T"
Sr 2.297 -3.123 -0.004
Y 0.000 0.000 0.000
Y -0.059 -2.452 -2.385
Zn -0.833 -3.016 1.371

---

No. 7
3
Lattice="-3.280 -2.319 0.152 -0.669 -2.726 -2.877 0.346 -3.919 0.824" Properties=species:S:1:pos:R:3 comment="ThN2 | the Alexandria database | PBE | relaxed" density_kg_m3=9403 total_magnetization_mub_per_atom=0.00 raw_formation_energy_ev_per_fu=-1.67 pbc="T T T"
Th -1.801 -4.482 -0.950
N -2.702 -6.723 -1.426
N -0.901 -2.241 -0.475

---

No. 8
4
Lattice="8.484 -0.017 -0.010 7.960 2.934 -0.010 7.960 1.413 2.572" Properties=species:S:1:pos:R:3 comment="BeZn2Hg | the Alexandria database | PBE | relaxed" e_form_ev_per_atom=0.311 relative_energy_kj_per_mol_fu=36.9 density_kg_m3=8748 total_magnetization_mub_per_atom=0.00 pbc="T T T"
Be 12.378 2.196 1.294
Zn 24.199 4.293 2.531
Zn 5.906 1.048 0.618
Hg 18.525 3.287 1.937

---

Question: Which formula does entry 2 have?
Answer: CaTmZnRh